Here is Pm2Tm2Rh3 after structural relaxation from Alexandria. Energies are from PBE.

Values from the calculation:
- Formation energy from the elements: -0.745 eV/atom
- Offset from the most stable computed form: 0 meV/atom

The structure in POSCAR format:
```
Pm2Tm2Rh3
1.0
5.6207 -2.1522 0.0000
5.6207 2.1522 0.0000
-5.0176 0.0000 6.7393
Pm Tm Rh
2 2 3
Direct
0.0808 0.0808 0.3792
0.9192 0.9192 0.6208
0.3195 0.3195 0.9267
0.6805 0.6805 0.0733
0.0000 0.0000 0.0000
0.3428 0.3428 0.3219
0.6572 0.6572 0.6781
```